A plane-wave DFT calculation with PBE-GGA was carried out for Tb3ScPd12 after structural relaxation.

Cell lengths 4.101, 4.101, 16.423 Å; angles 90.00, 90.00, 90.00 degrees
Space group P4/mmm (No. 123)
Unique sites:
Tb 0.000 0.000 0.000
Tb 0.000 0.000 0.254
Sc 0.000 0.000 0.500
Pd 0.000 0.500 0.127
Pd 0.000 0.500 0.382
Pd 0.500 0.500 0.000
Pd 0.500 0.500 0.254
Pd 0.500 0.500 0.500

Properties
volume	17.265	Å³ per atom
ΔH_f (0 K)	-0.86	eV per atom
E	-96.3	eV per cell